[1]
KTc2TeN: optimized geometry, PBE.

CIF file:
```
data_KTc2TeN
_chemical_formula_sum 'K1 Tc2 Te1 N1'
_symmetry_space_group_name_H-M 'P 4/m m m'
_symmetry_Int_Tables_number 123
_symmetry_space_group_name_Hall '-P 4 2'
_cell_length_a 4.9732
_cell_length_b 4.9732
_cell_length_c 6.8134
_cell_angle_alpha 90.00
_cell_angle_beta 90.00
_cell_angle_gamma 90.00
loop_
_atom_site_label
_atom_site_fract_x
_atom_site_fract_y
_atom_site_fract_z
K1 0.0000 0.0000 0.0000
Tc1 0.0000 0.5000 0.5000
Te1 0.0000 0.0000 0.5000
N1 0.5000 0.5000 0.0000
```

=====

[2]
KThTcN4: optimized geometry, PBE.

CIF file:
```
data_KThTcN4
_chemical_formula_sum 'K2 Th2 Tc2 N8'
_symmetry_space_group_name_H-M 'P 1 21/m 1'
_symmetry_Int_Tables_number 11
_symmetry_space_group_name_Hall '-P 2yb'
_cell_length_a 6.2558
_cell_length_b 5.9186
_cell_length_c 7.8741
_cell_angle_alpha 90.00
_cell_angle_beta 98.16
_cell_angle_gamma 90.00
loop_
_atom_site_label
_atom_site_fract_x
_atom_site_fract_y
_atom_site_fract_z
K1 0.1657 0.2500 0.3939
Th1 0.2929 0.2500 0.9341
Tc1 0.2204 0.7500 0.1506
N1 0.0163 0.7500 0.2928
N2 0.0573 0.7500 0.9452
N3 0.4123 0.5124 0.1612
```

=====

[3]
KThTcN3: optimized geometry, PBE.

CIF file:
```
data_KThTcN3
_chemical_formula_sum 'K2 Th2 Tc2 N6'
_symmetry_space_group_name_H-M 'P 1 21/m 1'
_symmetry_Int_Tables_number 11
_symmetry_space_group_name_Hall '-P 2yb'
_cell_length_a 7.4694
_cell_length_b 3.6384
_cell_length_c 9.2581
_cell_angle_alpha 90.00
_cell_angle_beta 102.85
_cell_angle_gamma 90.00
loop_
_atom_site_label
_atom_site_fract_x
_atom_site_fract_y
_atom_site_fract_z
K1 0.2350 0.2500 0.2316
Th1 0.1709 0.2500 0.6299
Tc1 0.3880 0.7500 0.9234
N1 0.1432 0.7500 0.4682
N2 0.1546 0.7500 0.8184
N3 0.4825 0.2500 0.8563
```

=====

[4]
K2ThTcN4: optimized geometry, PBE.

CIF file:
```
data_K2ThTcN4
_chemical_formula_sum 'K4 Th2 Tc2 N8'
_symmetry_space_group_name_H-M 'P m n 21'
_symmetry_Int_Tables_number 31
_symmetry_space_group_name_Hall 'P 2ac -2'
_cell_length_a 7.0977
_cell_length_b 7.7666
_cell_length_c 5.9206
_cell_angle_alpha 90.00
_cell_angle_beta 90.00
_cell_angle_gamma 90.00
loop_
_atom_site_label
_atom_site_fract_x
_atom_site_fract_y
_atom_site_fract_z
K1 0.2450 0.1423 0.0000
Th1 0.0000 0.3863 0.4784
Tc1 0.0000 0.6633 0.9671
N1 0.0000 0.4427 0.0920
N2 0.0000 0.6395 0.6580
N3 0.2282 0.7766 0.0338
```

=====

[5]
K2ThTc2N6: optimized geometry, PBE.

CIF file:
```
data_K2ThTc2N6
_chemical_formula_sum 'K4 Th2 Tc4 N12'
_symmetry_space_group_name_H-M 'C 1 2/m 1'
_symmetry_Int_Tables_number 12
_symmetry_space_group_name_Hall '-C 2y'
_cell_length_a 10.8775
_cell_length_b 6.2468
_cell_length_c 7.4423
_cell_angle_alpha 90.00
_cell_angle_beta 122.15
_cell_angle_gamma 90.00
loop_
_atom_site_label
_atom_site_fract_x
_atom_site_fract_y
_atom_site_fract_z
K1 0.2097 0.0000 0.1780
Th1 0.0000 0.0000 0.5000
Tc1 0.0470 0.5000 0.2089
N1 0.0269 0.2605 0.7563
N2 0.2383 0.5000 0.3365
```

=====

[6]
KVTcN2: optimized geometry, PBE.

CIF file:
```
data_KVTcN2
_chemical_formula_sum 'K1 V1 Tc1 N2'
_symmetry_space_group_name_H-M 'P 4/m m m'
_symmetry_Int_Tables_number 123
_symmetry_space_group_name_Hall '-P 4 2'
_cell_length_a 3.9220
_cell_length_b 3.9220
_cell_length_c 5.4217
_cell_angle_alpha 90.00
_cell_angle_beta 90.00
_cell_angle_gamma 90.00
loop_
_atom_site_label
_atom_site_fract_x
_atom_site_fract_y
_atom_site_fract_z
K1 0.0000 0.0000 0.0000
V1 0.0000 0.0000 0.5000
Tc1 0.5000 0.5000 0.0000
N1 0.0000 0.5000 0.5000
```

=====

[7]
K2TcWN4: optimized geometry, PBE.

CIF file:
```
data_K2TcWN4
_chemical_formula_sum 'K4 Tc2 W2 N8'
_symmetry_space_group_name_H-M 'P m m n'
_symmetry_Int_Tables_number 59
_cell_length_a 6.1357
_cell_length_b 6.6874
_cell_length_c 6.8511
_cell_angle_alpha 90.00
_cell_angle_beta 90.00
_cell_angle_gamma 90.00
loop_
_symmetry_equiv_pos_as_xyz
'x,y,z'
'-x,-y,-z'
'-x+1/2,-y+1/2,z'
'x+1/2,y+1/2,-z'
'x+1/2,-y,-z'
'-x+1/2,y,z'
'-x,y+1/2,-z'
'x,-y+1/2,z'
loop_
_atom_site_label
_atom_site_fract_x
_atom_site_fract_y
_atom_site_fract_z
K1 0.2500 0.0019 0.2063
Tc1 0.2500 0.2500 0.6645
W1 0.2500 0.7500 0.6532
N1 0.0052 0.2500 0.4983
N2 0.2500 0.5025 0.8005
```

=====

[8]
KYTcN3: optimized geometry, PBE.

CIF file:
```
data_KYTcN3
_chemical_formula_sum 'K4 Y4 Tc4 N12'
_symmetry_space_group_name_H-M 'C 1 2/m 1'
_symmetry_Int_Tables_number 12
_symmetry_space_group_name_Hall '-C 2y'
_cell_length_a 13.4554
_cell_length_b 3.8774
_cell_length_c 7.7591
_cell_angle_alpha 90.00
_cell_angle_beta 104.49
_cell_angle_gamma 90.00
loop_
_atom_site_label
_atom_site_fract_x
_atom_site_fract_y
_atom_site_fract_z
K1 0.1431 0.0000 0.0717
Y1 0.1618 0.0000 0.5711
Tc1 0.0012 0.5000 0.3265
N1 0.0109 0.0000 0.3258
N2 0.1363 0.5000 0.7851
N3 0.1617 0.5000 0.3794
```

=====

[9]
KZrTcN3: optimized geometry, PBE.

CIF file:
```
data_KZrTcN3
_chemical_formula_sum 'K2 Zr2 Tc2 N6'
_symmetry_space_group_name_H-M 'P 1 21/m 1'
_symmetry_Int_Tables_number 11
_symmetry_space_group_name_Hall '-P 2yb'
_cell_length_a 6.9179
_cell_length_b 3.3503
_cell_length_c 9.4086
_cell_angle_alpha 90.00
_cell_angle_beta 109.57
_cell_angle_gamma 90.00
loop_
_atom_site_label
_atom_site_fract_x
_atom_site_fract_y
_atom_site_fract_z
K1 0.1766 0.2500 0.1996
Zr1 0.3652 0.2500 0.8616
Tc1 0.1399 0.7500 0.5767
N1 0.0314 0.2500 0.6541
N2 0.3238 0.7500 0.9922
N3 0.4047 0.7500 0.6983
```

=====

[10]
K2TeN: optimized geometry, PBE.

CIF file:
```
data_K2TeN
_chemical_formula_sum 'K8 Te4 N4'
_symmetry_space_group_name_H-M 'F m -3 m'
_symmetry_Int_Tables_number 225
_symmetry_space_group_name_Hall '-F 4 2 3'
_cell_length_a 8.1177
_cell_length_b 8.1177
_cell_length_c 8.1177
_cell_angle_alpha 90.00
_cell_angle_beta 90.00
_cell_angle_gamma 90.00
loop_
_atom_site_label
_atom_site_fract_x
_atom_site_fract_y
_atom_site_fract_z
K1 0.2500 0.2500 0.2500
Te1 0.0000 0.0000 0.0000
N1 0.0000 0.0000 0.5000
```

Computed properties:
As for the energy relative to the lowest polymorph listed for this composition: 1.00 eV/f.u.

=====

[11]
K2TeN2: optimized geometry, PBE.

CIF file:
```
data_K2TeN2
_chemical_formula_sum 'K4 Te2 N4'
_symmetry_space_group_name_H-M 'C 1 2/m 1'
_symmetry_Int_Tables_number 12
_symmetry_space_group_name_Hall '-C 2y'
_cell_length_a 6.3804
_cell_length_b 6.3304
_cell_length_c 9.6141
_cell_angle_alpha 90.00
_cell_angle_beta 103.72
_cell_angle_gamma 90.00
loop_
_atom_site_label
_atom_site_fract_x
_atom_site_fract_y
_atom_site_fract_z
K1 0.0620 0.0000 0.1765
Te1 0.0000 0.5000 0.0000
N1 0.0812 0.5000 0.5390
```

=====

[12]
KTeN3: optimized geometry, PBE.

CIF file:
```
data_KTeN3
_chemical_formula_sum 'K1 Te1 N3'
_symmetry_space_group_name_H-M 'P m -3 m'
_symmetry_Int_Tables_number 221
_symmetry_space_group_name_Hall '-P 4 2 3'
_cell_length_a 4.3200
_cell_length_b 4.3200
_cell_length_c 4.3200
_cell_angle_alpha 90.00
_cell_angle_beta 90.00
_cell_angle_gamma 90.00
loop_
_atom_site_label
_atom_site_fract_x
_atom_site_fract_y
_atom_site_fract_z
K1 0.0000 0.0000 0.0000
Te1 0.5000 0.5000 0.5000
N1 0.0000 0.0000 0.5000
```

=====

Values for calculated density, g/cm3, ordered as above
3.71, 4.89, 5.57, 4.72, 4.58, 4.30, 4.92, 4.54, 4.37, 2.73, 2.06, 4.30
Values for total DFT energy (no corrections), eV per atom, ordered as above
-4.4104, -8.0789, -7.9176, -7.1112, -7.7110, -5.7359, -7.6247, -7.6215, -8.0637, -3.0353, -4.8770, -2.6228
Values for formation energy from raw total energies, eV/atom, ordered as above
2.25, -0.62, -0.61, -0.45, -0.41, 1.71, -0.27, -0.47, -0.57, 0.38, -0.48, 3.22